Record 1
! Tc3Pb (GGA-PBE, relaxed); values from VASP
! Formation enthalpy at 0 K = 0.646 eV/atom
! Excess energy over the best structure of this formula in the dataset = 0.66 eV per formula unit
&SYSTEM
  ibrav = 0, nat = 8, ntyp = 2
/
ATOMIC_SPECIES
Tc 98.00 Tc.upf
Pb 207.20 Pb.upf
CELL_PARAMETERS angstrom
-1.930 1.930 8.970
1.930 -1.930 8.970
1.930 1.930 -8.970
ATOMIC_POSITIONS crystal
Tc 0.000 0.500 0.500
Tc 0.137 0.137 0.000
Tc 0.250 0.750 0.500
Tc 0.500 0.000 0.500
Tc 0.750 0.250 0.500
Tc 0.863 0.863 0.000
Pb 0.378 0.378 0.000
Pb 0.622 0.622 0.000

Record 2
! V5W3 (GGA-PBE, relaxed); values from VASP
! Formation enthalpy at 0 K = -0.056 eV/atom
! Excess energy over the best structure of this formula in the dataset = 0.00 eV per formula unit
&SYSTEM
  ibrav = 0, nat = 8, ntyp = 2
/
ATOMIC_SPECIES
V 50.94 V.upf
W 183.84 W.upf
CELL_PARAMETERS angstrom
4.284 -4.394 0.000
4.284 4.394 0.000
0.000 0.000 3.078
ATOMIC_POSITIONS crystal
V 0.000 0.000 0.000
V 0.000 0.500 0.000
V 0.249 0.249 0.500
V 0.500 0.000 0.000
V 0.751 0.751 0.500
W 0.245 0.755 0.500
W 0.500 0.500 0.000
W 0.755 0.245 0.500